Entry from Alexandria: a relaxed Li2VInO4 crystal (PBE+U).

a = 6.0986 Å, b = 6.2748 Å, c = 8.7854 Å
α = 90.00°, β = 90.00°, γ = 90.00°
Closest atoms and distances in Å follow each position.
Space group Imma (No. 74)
Unique sites:
Li1 0.0000 0.0000 0.0000  6 O 2.19-2.20
Li2 0.2500 0.2500 0.2500  6 O 2.27-2.30
V1 0.2500 0.2500 0.7500  6 O 2.08-2.13
In1 0.0000 0.0000 0.5000  6 O 2.18-2.22
O1 0.0000 0.0252 0.7518  2 V 2.08, 3 Li 2.19-2.30, 1 In 2.22
O2 0.2484 0.2500 0.5081  1 V 2.13, 2 In 2.18, 3 Li 2.20-2.27

Results
* electronic total energy: -6.102 eV/atom
* size of the total moment: 2.000 μB/f.u.
* volume: 336.19 Å³ per cell